[1]
Material: K2GePb2
Method: DFT, GGA-PBE
State: relaxed

Output
Total moment, μB per formula unit: 0.00
Formation enthalpy at 0 K, eV/atom: -0.036
Crystal system: tetragonal

Cell lengths 7.7493, 7.7493, 5.9452 Å; angles 90.00, 90.00, 90.00 degrees
Space group P4/mbm (No. 127)
Inequivalent atoms, fractional coordinates:
K 0.1750 0.3250 0.0000 (multiplicity 4)
Ge 0.0000 0.0000 0.5000 (multiplicity 2)
Pb 0.1430 0.6430 0.5000 (multiplicity 4)


[2]
Material: RbAlRh2W
Method: DFT, GGA-PBE
State: relaxed

Output
Total moment, μB per formula unit: 3.48
Formation enthalpy at 0 K, eV/atom: 1.272
Crystal system: tetragonal

Cell lengths 4.7189, 4.7189, 4.9642 Å; angles 90.00, 90.00, 90.00 degrees
Space group P4/mmm (No. 123)
Inequivalent atoms, fractional coordinates:
Rb 0.0000 0.0000 0.0000 (multiplicity 1)
Al 0.5000 0.5000 0.5000 (multiplicity 1)
Rh 0.0000 0.5000 0.5000 (multiplicity 2)
W 0.5000 0.5000 0.0000 (multiplicity 1)


[3]
Material: PS2N
Method: DFT, GGA-PBE
State: relaxed

Output
Total moment, μB per formula unit: 0.00
Raw formation energy, meV/atom: 1414
Offset from the most stable computed form, meV per atom: 631
Crystal system: trigonal

Cell lengths 3.0997, 3.0997, 21.5355 Å; angles 90.00, 90.00, 120.00 degrees
Space group R-3m (No. 166, hexagonal axes)
Inequivalent atoms, fractional coordinates:
P 0.0000 0.0000 0.0000 (multiplicity 3)
S 0.0000 0.0000 0.1044 (multiplicity 6)
N 0.0000 0.0000 0.5000 (multiplicity 3)


[4]
Material: AgSbPdPb
Method: DFT, GGA-PBE
State: relaxed

Output
Total moment, μB per formula unit: 0.00
Raw formation energy, meV/atom: -50
Crystal system: cubic

Cell lengths 7.0590, 7.0590, 7.0590 Å; angles 90.00, 90.00, 90.00 degrees
Space group F-43m (No. 216)
Inequivalent atoms, fractional coordinates:
Ag 0.0000 0.0000 0.0000 (multiplicity 4)
Sb 0.2500 0.2500 0.2500 (multiplicity 4)
Pd 0.0000 0.0000 0.5000 (multiplicity 4)
Pb 0.2500 0.2500 0.7500 (multiplicity 4)


[5]
Material: Tl2FeAg
Method: DFT, GGA-PBE
State: relaxed

Output
Total moment, μB per formula unit: 2.81
Formation enthalpy at 0 K, eV/atom: 0.635
Offset from the most stable computed form, meV per atom: 224
Crystal system: tetragonal

Cell lengths 4.4262, 4.4262, 19.0832 Å; angles 90.00, 90.00, 90.00 degrees
Space group I-42d (No. 122)
Inequivalent atoms, fractional coordinates:
Tl 0.2367 0.2500 0.1250 (multiplicity 8)
Fe 0.0000 0.0000 0.0000 (multiplicity 4)
Ag 0.0000 0.0000 0.5000 (multiplicity 4)


[6]
Material: Y4Sn3
Method: DFT, GGA-PBE
State: relaxed

Output
Total moment, μB per formula unit: 0.00
Formation enthalpy at 0 K, eV/atom: -0.773
Crystal system: cubic

Cell lengths 9.3028, 9.3028, 9.3028 Å; angles 90.00, 90.00, 90.00 degrees
Space group I-43d (No. 220)
Inequivalent atoms, fractional coordinates:
Y 0.0705 0.0705 0.0705 (multiplicity 16)
Sn 0.0000 0.2500 0.3750 (multiplicity 12)


[7]
Material: Rb2CaMgCl6
Method: DFT, GGA-PBE
State: relaxed

Output
Total moment, μB per formula unit: 0.00
Raw formation energy, meV/atom: -2070
Crystal system: trigonal

Cell lengths 7.3925, 7.3925, 37.8732 Å; angles 90.00, 90.00, 120.00 degrees
Space group R-3m (No. 166, hexagonal axes)
Inequivalent atoms, fractional coordinates:
Rb 0.0000 0.0000 0.1323 (multiplicity 6)
Rb 0.0000 0.0000 0.2932 (multiplicity 6)
Ca 0.0000 0.0000 0.4119 (multiplicity 6)
Mg 0.0000 0.0000 0.0000 (multiplicity 3)
Mg 0.0000 0.0000 0.5000 (multiplicity 3)
Cl 0.0131 0.5066 0.7050 (multiplicity 18)
Cl 0.0153 0.5077 0.1268 (multiplicity 18)


[8]
Material: Tb2LuGe
Method: DFT, GGA-PBE
State: relaxed

Output
Total moment, μB per formula unit: 0.01
Formation enthalpy at 0 K, eV/atom: 0.140
Crystal system: trigonal

Cell lengths 3.4604, 3.4604, 34.2778 Å; angles 90.00, 90.00, 120.00 degrees
Space group R-3m (No. 166, hexagonal axes)
Inequivalent atoms, fractional coordinates:
Tb 0.0000 0.0000 0.0846 (multiplicity 6)
Lu 0.0000 0.0000 0.5000 (multiplicity 3)
Ge 0.0000 0.0000 0.0000 (multiplicity 3)


| no. | VASP energy (eV per atom) | D(E_F) (states/eV per cell) |
| --- | --- | --- |
| 1 | -2.881 | 4.314 |
| 2 | -5.202 | 4.465 |
| 3 | -4.084 | 4.710 |
| 4 | -4.019 | 9.584 |
| 5 | -3.377 | 20.257 |
| 6 | -6.183 | 2.461 |
| 7 | -3.731 | 0.000 |
| 8 | -4.460 | 10.957 |